Entry 1:
BeZn2Os | PBE-GGA | optimized geometry

extended XYZ file:
```
4
Lattice="-1.085 -2.494 -3.208 -1.482 -1.419 1.604 -4.244 2.218 -0.288" Properties=species:S:1:pos:R:3 pbc="T T T"
Be -1.974 -1.047 -1.275
Zn -0.202 -0.114 0.157
Zn -2.661 0.514 0.501
Os -4.837 -0.647 -0.617
```

Space-group type: P2/m (10)
Energy: -16.84 eV/cell
Calculated formation energy: 0.16 eV per atom
Magnetization: 0.0 μB per formula unit

Entry 2:
BeZn2Os | PBE-GGA | optimized geometry

extended XYZ file:
```
4
Lattice="4.467 -0.005 -0.017 -2.143 4.665 0.014 0.182 0.731 2.512" Properties=species:S:1:pos:R:3 pbc="T T T"
Be -0.980 2.698 1.263
Zn 0.000 0.000 0.000
Zn 2.325 0.363 1.248
Os 1.162 2.330 -0.002
```

Space-group type: C2/m (12)
Energy: -16.71 eV/cell
Calculated formation energy: 0.20 eV per atom
Magnetization: 0.0 μB per formula unit